# 1
Below is a geometry-optimized PrTl2SbO4 structure, with properties calculated at the PBE level.

a b c (Å): 7.436 7.436 7.518
angles (deg): 120.37 120.37 89.91
Element x y z (fractional)
Pr 0.000 0.500 0.000
Pr 0.000 0.500 0.500
Tl 0.500 0.000 0.000
Tl 0.500 0.000 0.500
Tl 0.000 0.000 0.500
Tl 0.500 0.500 0.000
Sb 0.500 0.500 0.500
Sb 0.000 0.000 0.000
O 0.183 0.735 0.959
O 0.765 0.317 0.541
O 0.235 0.683 0.459
O 0.817 0.265 0.041
O 0.769 0.731 0.955
O 0.769 0.731 0.545
O 0.231 0.269 0.455
O 0.231 0.269 0.045

Results
Density   8.4 g cm⁻³
Raw formation energy   -1.4618 eV/atom
VASP energy   -5.645 eV per atom
N(E_F)   0.3 states/eV per cell

# 2
Below is a geometry-optimized Ge3PdPt12Pb2 structure, with properties calculated at the PBE level.

a b c (Å): 7.688 7.688 7.688
angles (deg): 64.92 64.92 64.92
Element x y z (fractional)
Ge 0.500 0.000 0.000
Ge 0.000 0.500 0.000
Ge 0.000 0.000 0.500
Pd 0.000 0.000 0.000
Pt 0.370 0.370 0.887
Pt 0.856 0.856 0.386
Pt 0.386 0.856 0.856
Pt 0.887 0.370 0.370
Pt 0.856 0.386 0.856
Pt 0.370 0.887 0.370
Pt 0.630 0.630 0.113
Pt 0.144 0.144 0.614
Pt 0.614 0.144 0.144
Pt 0.113 0.630 0.630
Pt 0.144 0.614 0.144
Pt 0.630 0.113 0.630
Pb 0.610 0.610 0.610
Pb 0.390 0.390 0.390

Results
Density   14.4 g cm⁻³
ΔH_f (0 K)   -22 meV/atom
VASP energy   -5.519 eV per atom
N(E_F)   10.3 states/eV per cell

# 3
Below is a geometry-optimized Pm2Sb2Au structure, with properties calculated at the PBE level.

a b c (Å): 4.388 6.339 10.605
angles (deg): 89.61 78.06 69.75
Element x y z (fractional)
Pm 0.656 0.359 0.328
Pm 0.943 0.228 0.886
Pm 0.344 0.641 0.672
Pm 0.057 0.772 0.114
Sb 0.089 0.257 0.565
Sb 0.674 0.761 0.891
Sb 0.911 0.743 0.435
Sb 0.326 0.239 0.109
Au 0.637 0.047 0.679
Au 0.363 0.953 0.321

Results
Density   9.0 g cm⁻³
Raw formation energy   -0.8840 eV/atom
VASP energy   -5.089 eV per atom
N(E_F)   5.8 states/eV per cell

# 4
Below is a geometry-optimized TcRh3N structure, with properties calculated at the PBE level.

a b c (Å): 4.687 4.687 4.687
angles (deg): 90.00 90.00 90.00
Last column: magnetic moment on the atom in μB.
Element x y z (fractional)
Rh 0.000 0.500 0.000  0.25
Rh 0.000 0.000 0.500  0.17
Rh 0.500 0.000 0.000  0.23
Tc 0.000 0.000 0.000  0.07
N 0.500 0.500 0.500  1.58

Results
Density   6.8 g cm⁻³
Raw formation energy   2.3136 eV/atom
Energy above the lowest structure with this stoichiometry   1816 meV/atom
VASP energy   -5.836 eV per atom
N(E_F)   4.4 states/eV per cell

Which formula does entry 4 have?
TcRh3N

Look up the VASP energy of the first one.
-5.645 eV per atom

What is the formula in the first record?
PrTl2SbO4

What is the density in the first record?
8.4 g cm⁻³